(1)
Below is a relaxed structure of ScTcOs2, with properties calculated at the GGA-PBE level.

Cell and atoms, written as POSCAR:
```
ScTcOs2
1.0
2.7572 0.0000 0.0000
0.0000 4.2279 0.0000
-1.2918 0.0000 5.2870
Sc Tc Os
1 1 2
Direct
0.0000 0.0000 0.0000
0.0000 0.0000 0.5000
0.4281 0.5000 0.2546
0.5719 0.5000 0.7454
```

Results
Electronic total energy = -0.71218 Ry/atom
E_form = 0.0996 eV per atom
Crystal system = monoclinic
Fermi-level density of states = 1.074 states/eV per atom
Energy above the lowest structure with this stoichiometry = 166.7 meV/atom

(2)
Below is a relaxed structure of As2Ir, with properties calculated at the GGA-PBE level.

Cell and atoms, written as POSCAR:
```
As2Ir
1.0
4.5205 0.0000 0.0000
-2.2603 3.9149 0.0000
0.0000 0.0000 2.8624
As Ir
2 1
Direct
0.3333 0.6667 0.0000
0.6667 0.3333 0.0000
0.0000 0.0000 0.5000
```

Results
Electronic total energy = -0.39657 Ry/atom
E_form = 0.6578 eV per atom
Crystal system = hexagonal
Fermi-level density of states = 0.866 states/eV per atom

(3)
Below is a relaxed structure of ZrSb2Ir, with properties calculated at the GGA-PBE level.

Cell and atoms, written as POSCAR:
```
ZrSb2Ir
1.0
1.6470 0.9509 8.9477
-1.6470 0.9509 8.9477
0.0000 -1.9018 8.9477
Zr Sb Ir
1 2 1
Direct
0.0000 0.0000 0.0000
0.2415 0.2415 0.2415
0.7585 0.7585 0.7585
0.5000 0.5000 0.5000
```

Results
Electronic total energy = -0.47147 Ry/atom
E_form (uncorrected) = 0.00 eV per atom
Crystal system = trigonal
Fermi-level density of states = 0.862 states/eV per atom
Energy above the lowest structure with this stoichiometry = 365.6 meV/atom

(4)
Below is a relaxed structure of RbNaTl2In, with properties calculated at the GGA-PBE level.

Cell and atoms, written as POSCAR:
```
RbNaTl2In
1.0
6.5048 0.0000 0.0000
0.0000 7.8234 0.0000
0.0000 0.0000 7.1082
Rb Na Tl In
2 2 4 2
Direct
0.2500 0.0000 0.2461
0.7500 0.0000 0.7539
0.2500 0.5000 0.1094
0.7500 0.5000 0.8906
0.2500 0.2440 0.7453
0.2500 0.7560 0.7453
0.7500 0.2440 0.2547
0.7500 0.7560 0.2547
0.0000 0.5000 0.5000
0.5000 0.5000 0.5000
```

Results
Electronic total energy = -0.14808 Ry/atom
E_form = -0.0632 eV per atom
Crystal system = orthorhombic
Fermi-level density of states = 0.481 states/eV per atom
Energy above the lowest structure with this stoichiometry = 0.0 meV/atom

(5)
Below is a relaxed structure of TmGa6, with properties calculated at the GGA-PBE level.

Cell and atoms, written as POSCAR:
```
TmGa6
1.0
5.9608 0.0000 0.0000
0.0000 5.9608 0.0000
0.0000 0.0000 7.5418
Tm Ga
2 12
Direct
0.2500 0.7500 0.0000
0.7500 0.2500 0.0000
0.0764 0.5764 0.3534
0.0764 0.9236 0.6466
0.2500 0.2500 0.1624
0.2500 0.2500 0.8376
0.4236 0.5764 0.6466
0.4236 0.9236 0.3534
0.5764 0.0764 0.6466
0.5764 0.4236 0.3534
0.7500 0.7500 0.1624
0.7500 0.7500 0.8376
0.9236 0.0764 0.3534
0.9236 0.4236 0.6466
```

Results
Electronic total energy = -0.25814 Ry/atom
E_form = -0.2789 eV per atom
Crystal system = tetragonal
Fermi-level density of states = 0.369 states/eV per atom
Energy above the lowest structure with this stoichiometry = 0.0 meV/atom

(6)
Below is a relaxed structure of Co2AsOs, with properties calculated at the GGA-PBE level.

Cell and atoms, written as POSCAR:
```
Co2AsOs
1.0
2.9696 0.0000 0.0000
0.0000 2.9696 0.0000
0.0000 0.0000 5.8465
Co As Os
2 1 1
Direct
0.0000 0.0000 0.0000
0.5000 0.5000 0.2320
0.5000 0.5000 0.7596
0.0000 0.0000 0.5007
```

Results
Electronic total energy = -0.53363 Ry/atom
E_form = 0.2624 eV per atom
Crystal system = tetragonal
Fermi-level density of states = 0.999 states/eV per atom

(7)
Below is a relaxed structure of In2AgSb, with properties calculated at the GGA-PBE level.

Cell and atoms, written as POSCAR:
```
In2AgSb
1.0
1.7152 0.9903 9.7708
-1.7152 0.9903 9.7708
0.0000 -1.9805 9.7708
In Ag Sb
2 1 1
Direct
0.0000 0.0000 0.0000
0.2453 0.2453 0.2453
0.5028 0.5028 0.5028
0.7589 0.7589 0.7589
```

Results
Electronic total energy = -0.22146 Ry/atom
E_form (uncorrected) = 0.10 eV per atom
Crystal system = trigonal
Fermi-level density of states = 0.485 states/eV per atom

(8)
Below is a relaxed structure of HoTmGa4, with properties calculated at the GGA-PBE level.

Cell and atoms, written as POSCAR:
```
HoTmGa4
1.0
-2.1173 3.4599 4.0917
2.1173 -3.4599 4.0917
2.1173 3.4599 -4.0917
Ho Tm Ga
1 1 4
Direct
0.0000 0.0000 0.0000
0.6207 0.1207 0.5000
0.0197 0.7202 0.2995
0.2003 0.3987 0.8016
0.4206 0.7202 0.7005
0.5971 0.3987 0.1984
```

Results
Electronic total energy = -0.30432 Ry/atom
E_form = -0.6143 eV per atom
Crystal system = orthorhombic
Fermi-level density of states = 0.508 states/eV per atom
Energy above the lowest structure with this stoichiometry = 0.0 meV/atom